[1]
Below is an optimized crystal structure of Co2P2N, with properties calculated at the PBE level.

Summary:
- distance to the lowest polymorph of the same formula (meV per atom) = 0
- crystal system = orthorhombic
- formation energy from raw total energies (eV per atom) = -0.26
- raw total energy (eV per atom) = -6.93
- total moment (μB/f.u.) = 0.4

a = 3.220 Å, b = 2.712 Å, c = 13.665 Å
α = 90.00°, β = 90.00°, γ = 90.00°
Space group Amm2 (No. 38)
Inequivalent atoms, fractional coordinates:
Co 0.000 0.000 0.000 x2
Co 0.500 0.000 0.178 x2
P 0.000 0.000 0.286 x2
P 0.500 0.000 0.554 x2
N 0.000 0.000 0.860 x2

***

[2]
Below is an optimized crystal structure of NpHgPdPt, with properties calculated at the PBE level.

Summary:
- ΔE_f (kJ/mol of atoms) = -28.4
- crystal system = cubic
- raw total energy (eV per atom) = -6.41
- total moment (μB/f.u.) = 3.7

a = 6.827 Å, b = 6.827 Å, c = 6.827 Å
α = 90.00°, β = 90.00°, γ = 90.00°
Space group F-43m (No. 216)
Inequivalent atoms, fractional coordinates:
Np 0.000 0.000 0.000 x4
Hg 0.000 0.000 0.500 x4
Pd 0.250 0.250 0.750 x4
Pt 0.250 0.250 0.250 x4

***

[3]
Below is an optimized crystal structure of AcNd6Y2Tm, with properties calculated at the PBE level.

Summary:
- ΔE_f (kJ/mol of atoms) = 11.7
- crystal system = monoclinic
- raw total energy (eV per atom) = -4.89
- total moment (μB/f.u.) = 0.0

a = 9.555 Å, b = 15.398 Å, c = 9.690 Å
α = 90.00°, β = 94.94°, γ = 90.00°
Space group C2/c (No. 15)
Inequivalent atoms, fractional coordinates:
Ac 0.000 0.033 0.250 x4
Nd 0.061 0.181 0.944 x8
Nd 0.095 0.386 0.116 x8
Nd 0.224 0.225 0.316 x8
Y 0.240 0.449 0.449 x8
Tm 0.000 0.413 0.750 x4

***

[4]
Below is an optimized crystal structure of Cs2CdGaHg, with properties calculated at the PBE level.

Summary:
- distance to the lowest polymorph of the same formula (meV per atom) = 0
- ΔE_f (kJ/mol of atoms) = 3.2
- crystal system = tetragonal
- raw total energy (eV per atom) = -1.16
- total moment (μB/f.u.) = 0.0

a = 7.332 Å, b = 7.332 Å, c = 5.060 Å
α = 90.00°, β = 90.00°, γ = 90.00°
Space group P4/mmm (No. 123)
Inequivalent atoms, fractional coordinates:
Cs 0.000 0.500 0.000 x2
Cd 0.000 0.000 0.500 x1
Ga 0.000 0.000 0.000 x1
Hg 0.500 0.500 0.500 x1

***

[5]
Below is an optimized crystal structure of LaPaSb3, with properties calculated at the PBE level.

Summary:
- crystal system = orthorhombic
- formation energy from raw total energies (eV per atom) = -0.65
- raw total energy (eV per atom) = -6.00
- total moment (μB/f.u.) = 0.9

a = 14.623 Å, b = 6.190 Å, c = 6.476 Å
α = 90.00°, β = 90.00°, γ = 90.00°
Space group Pbcm (No. 57)
Inequivalent atoms, fractional coordinates:
La 0.173 0.018 0.250 x4
Pa 0.414 0.750 0.000 x4
Sb 0.003 0.750 0.000 x4
Sb 0.247 0.525 0.250 x4
Sb 0.404 0.189 0.250 x4

***

[6]
Below is an optimized crystal structure of Sr3In3Ir, with properties calculated at the PBE level.

Summary:
- ΔE_f (kJ/mol of atoms) = -38.0
- crystal system = monoclinic
- raw total energy (eV per atom) = -3.55
- total moment (μB/f.u.) = 0.0

a = 12.412 Å, b = 4.301 Å, c = 17.046 Å
α = 90.00°, β = 106.84°, γ = 90.00°
Space group C2/m (No. 12)
Inequivalent atoms, fractional coordinates:
Sr 0.018 0.000 0.390 x4
Sr 0.116 0.000 0.920 x4
Sr 0.245 0.000 0.249 x4
In 0.027 0.500 0.237 x4
In 0.106 0.500 0.080 x4
In 0.178 0.500 0.538 x4
Ir 0.209 0.500 0.377 x4

***

[7]
Below is an optimized crystal structure of LaHgW2, with properties calculated at the PBE level.

Summary:
- ΔE_f (kJ/mol of atoms) = 58.2
- crystal system = monoclinic
- raw total energy (eV per atom) = -7.18
- total moment (μB/f.u.) = 0.0

a = 8.460 Å, b = 3.131 Å, c = 7.115 Å
α = 90.00°, β = 98.15°, γ = 90.00°
Space group Cm (No. 8)
Inequivalent atoms, fractional coordinates:
La 0.000 0.000 0.000 x2
Hg 0.260 0.500 0.327 x2
W 0.003 0.500 0.572 x2
W 0.237 0.000 0.711 x2

***

[8]
Below is an optimized crystal structure of TaTeP2, with properties calculated at the PBE level.

Summary:
- crystal system = trigonal
- formation energy from raw total energies (eV per atom) = -0.07
- raw total energy (eV per atom) = -6.52
- total moment (μB/f.u.) = 0.0

a = 3.2379 Å, b = 3.2379 Å, c = 26.3557 Å
α = 90.00°, β = 90.00°, γ = 120.00°
Space group R-3m (No. 166, hexagonal axes)
Inequivalent atoms, fractional coordinates:
Ta 0.0000 0.0000 0.0000 x3
Te 0.0000 0.0000 0.5000 x3
P 0.0000 0.0000 0.2688 x6